No. 1
{"formula": "Li5Dy", "functional": "PBE-GGA", "state": "optimized geometry", "e_form_kj_per_mol_atoms": 10, "cell": [[3.307, 0.000, 0.000], [0.000, 5.273, 0.000], [0.000, -2.636, 7.701]], "species": ["Li", "Li", "Li", "Li", "Li", "Dy"], "fractional_positions": [[0.000, 0.653, 0.305], [0.000, 0.347, 0.695], [0.500, 0.814, 0.629], [0.500, 0.186, 0.371], [0.500, 0.500, 0.000], [0.000, 0.000, 0.000]]}

=====

No. 2
{"formula": "LiDy", "functional": "PBE-GGA", "state": "optimized geometry", "e_form_kj_per_mol_atoms": 6, "cell": [[-1.808, -2.965, -1.131], [2.899, -2.073, 0.800], [-2.732, -1.062, 7.151]], "species": ["Li", "Li", "Dy", "Dy"], "fractional_positions": [[0.250, 0.250, 0.086], [0.750, 0.750, 0.914], [0.250, 0.250, 0.647], [0.750, 0.750, 0.353]]}

=====

No. 3
{"formula": "LiDy2", "functional": "PBE-GGA", "state": "optimized geometry", "e_form_kj_per_mol_atoms": 9, "cell": [[-1.728, 1.779, -2.644], [-3.103, -0.268, 1.855], [3.654, 4.710, 3.260]], "species": ["Dy", "Dy", "Li"], "fractional_positions": [[0.845, 0.845, 0.691], [0.155, 0.155, 0.309], [0.500, 0.500, 0.000]]}

=====

No. 4
{"formula": "LiDy4", "functional": "PBE-GGA", "state": "optimized geometry", "e_form_kj_per_mol_atoms": 43, "cell": [[5.360, 0.000, 0.000], [0.000, 5.360, 0.000], [0.000, 0.000, 5.360]], "species": ["Dy", "Dy", "Dy", "Dy", "Li"], "fractional_positions": [[0.000, 0.000, 0.000], [0.000, 0.500, 0.500], [0.500, 0.500, 0.000], [0.500, 0.000, 0.500], [0.500, 0.500, 0.500]]}

=====

No. 5
{"formula": "LiDy5", "functional": "PBE-GGA", "state": "optimized geometry", "e_form_kj_per_mol_atoms": 11, "cell": [[-3.615, 2.251, -2.531], [-3.018, -3.725, 0.998], [-0.691, 5.308, 5.707]], "species": ["Dy", "Dy", "Dy", "Dy", "Dy", "Li"], "fractional_positions": [[0.500, 0.830, 0.659], [0.000, 0.666, 0.333], [0.500, 0.170, 0.341], [0.500, 0.500, 0.000], [0.000, 0.334, 0.667], [0.000, 0.000, 0.000]]}

=====

No. 6
{"formula": "Li4DyLu", "functional": "PBE-GGA", "state": "optimized geometry", "e_form_kj_per_mol_atoms": 12, "cell": [[5.798, 0.000, 0.000], [2.899, 5.021, 0.000], [2.899, 1.674, 4.734]], "species": ["Li", "Li", "Li", "Li", "Dy", "Lu"], "fractional_positions": [[0.625, 0.625, 0.124], [0.625, 0.124, 0.625], [0.625, 0.625, 0.625], [0.124, 0.625, 0.625], [0.250, 0.250, 0.250], [0.000, 0.000, 0.000]]}

=====

No. 7
{"formula": "LiDyLu2", "functional": "PBE-GGA", "state": "optimized geometry", "e_form_kj_per_mol_atoms": 19, "cell": [[5.390, 0.000, 0.000], [2.695, 4.668, 0.000], [2.695, 1.556, 4.401]], "species": ["Lu", "Lu", "Dy", "Li"], "fractional_positions": [[0.750, 0.750, 0.750], [0.250, 0.250, 0.250], [0.500, 0.500, 0.500], [0.000, 0.000, 0.000]]}

=====

No. 8
{"formula": "LiDyLu2", "functional": "PBE-GGA", "state": "optimized geometry", "e_form_kj_per_mol_atoms": 8, "cell": [[-0.883, -3.414, 0.310], [1.627, -0.699, -3.065], [7.408, -1.528, 4.280]], "species": ["Lu", "Lu", "Dy", "Li"], "fractional_positions": [[0.000, 0.000, 0.779], [0.000, 0.000, 0.221], [0.500, 0.500, 0.500], [0.500, 0.500, 0.000]]}